(1)
First-principles (meta-GGA SCAN) data for a crystal of CaScPt2 relaxed with PBEsol, as listed in Alexandria.

## Properties
The total energy is -42.3318 eV/atom. The total magnetic moment comes out at 0.0 μB per cell. The value obtained for the energy relative to the elements is -1.260 eV per atom. As for the density of states at the Fermi level: 1.77 states/eV per cell.

a b c (Å): 3.282 3.282 6.953
angles (deg): 90.00 90.00 90.00
Fractional coordinates of all 4 atoms:
Pt: 0.000 0.000 0.467
Pt: 0.000 0.000 0.033
Ca: 0.500 0.500 0.750
Sc: 0.500 0.500 0.250



(2)
First-principles (meta-GGA SCAN) data for a crystal of SmInCu2 relaxed with PBEsol, as listed in Alexandria.

## Properties
The total energy is -27.4193 eV/atom. The total magnetic moment comes out at 0.0 μB per cell. The value obtained for the energy relative to the elements is -0.362 eV per atom. As for the density of states at the Fermi level: 1.37 states/eV per cell.

a b c (Å): 4.670 4.670 4.670
angles (deg): 60.00 60.00 60.00
Fractional coordinates of all 4 atoms:
Sm: 0.500 0.500 0.500
Cu: 0.750 0.750 0.750
Cu: 0.250 0.250 0.250
In: 0.000 0.000 0.000